(1)
The following is a DFT calculation (GGA-PBE) of Y3ZnB after structural relaxation. Values from VASP.

Geometry as Quantum ESPRESSO input:
```
&SYSTEM
  ibrav = 0, nat = 5, ntyp = 3
/
ATOMIC_SPECIES
Zn 65.41 Zn.upf
B 10.81 B.upf
Y 88.91 Y.upf
CELL_PARAMETERS angstrom
-2.008 4.473 1.121
-1.595 -1.821 4.408
4.326 1.404 2.146
ATOMIC_POSITIONS crystal
Zn 0.500 0.500 0.500
B 0.000 0.000 0.000
Y 0.000 0.000 0.500
Y 0.500 0.000 0.000
Y 0.000 0.500 0.000
```

Properties
VASP energy = -5.510 eV per atom
Symmetry = Pm-3m


(2)
The following is a DFT calculation (GGA-PBE) of TlGa2SeO6 after structural relaxation. Values from VASP.

Geometry as Quantum ESPRESSO input:
```
&SYSTEM
  ibrav = 0, nat = 20, ntyp = 4
/
ATOMIC_SPECIES
Tl 204.38 Tl.upf
O 16.00 O.upf
Ga 69.72 Ga.upf
Se 78.96 Se.upf
CELL_PARAMETERS angstrom
-3.556 4.137 2.597
-6.571 -2.929 -0.093
-0.179 -1.855 6.949
ATOMIC_POSITIONS crystal
Tl 0.750 0.177 0.823
Tl 0.250 0.823 0.177
O 0.017 0.846 0.853
O 0.595 0.253 0.529
O 0.817 0.855 0.374
O 0.905 0.471 0.747
O 0.683 0.626 0.145
O 0.483 0.147 0.154
O 0.317 0.374 0.855
O 0.405 0.747 0.471
O 0.517 0.853 0.846
O 0.095 0.529 0.253
O 0.183 0.145 0.626
O 0.983 0.154 0.147
Ga 0.805 0.695 0.875
Ga 0.195 0.305 0.125
Ga 0.695 0.125 0.305
Ga 0.305 0.875 0.695
Se 0.750 0.633 0.367
Se 0.250 0.367 0.633
```

Properties
VASP energy = -5.342 eV per atom
Symmetry = C2/c
Uncorrected formation energy = -1.177 eV/atom


(3)
The following is a DFT calculation (GGA-PBE) of InSiAu2 after structural relaxation. Values from VASP.

Geometry as Quantum ESPRESSO input:
```
&SYSTEM
  ibrav = 0, nat = 4, ntyp = 3
/
ATOMIC_SPECIES
Au 196.97 Au.upf
Si 28.09 Si.upf
In 114.82 In.upf
CELL_PARAMETERS angstrom
5.326 0.232 -0.262
4.073 3.439 -0.262
0.270 0.105 4.522
ATOMIC_POSITIONS crystal
Au 0.990 0.990 0.976
Au 0.244 0.244 0.248
Si 0.757 0.757 0.796
In 0.509 0.509 0.480
```

Properties
VASP energy = -3.612 eV per atom
Symmetry = Cm
Uncorrected formation energy = 0.067 eV/atom


(4)
The following is a DFT calculation (GGA-PBE) of HoUFe2 after structural relaxation. Values from VASP.

Geometry as Quantum ESPRESSO input:
```
&SYSTEM
  ibrav = 0, nat = 4, ntyp = 3
/
ATOMIC_SPECIES
Ho 164.93 Ho.upf
Fe 55.84 Fe.upf
U 238.03 U.upf
CELL_PARAMETERS angstrom
4.091 0.002 0.005
-2.045 3.513 -0.447
0.007 0.730 5.641
ATOMIC_POSITIONS crystal
Ho 0.123 0.249 0.700
Fe 0.126 0.251 0.196
Fe 0.791 0.583 0.370
U 0.459 0.917 0.235
```

Properties
VASP energy = -8.146 eV per atom
Symmetry = P1


(5)
The following is a DFT calculation (GGA-PBE) of Ga2Ag4Hg after structural relaxation. Values from VASP.

Geometry as Quantum ESPRESSO input:
```
&SYSTEM
  ibrav = 0, nat = 7, ntyp = 3
/
ATOMIC_SPECIES
Ag 107.87 Ag.upf
Ga 69.72 Ga.upf
Hg 200.59 Hg.upf
CELL_PARAMETERS angstrom
-1.486 -2.622 2.525
3.169 -2.273 -0.496
3.717 7.152 6.554
ATOMIC_POSITIONS crystal
Ag 0.250 0.750 0.500
Ag 0.750 0.250 0.500
Ag 0.138 0.138 0.276
Ag 0.862 0.862 0.724
Ga 0.360 0.360 0.720
Ga 0.640 0.640 0.280
Hg 0.000 0.000 0.000
```

Properties
VASP energy = -2.417 eV per atom
Symmetry = I4/mmm


(6)
The following is a DFT calculation (GGA-PBE) of NdCd2As2Pd7 after structural relaxation. Values from VASP.

Geometry as Quantum ESPRESSO input:
```
&SYSTEM
  ibrav = 0, nat = 12, ntyp = 4
/
ATOMIC_SPECIES
Pd 106.42 Pd.upf
As 74.92 As.upf
Cd 112.41 Cd.upf
Nd 144.24 Nd.upf
CELL_PARAMETERS angstrom
-3.161 -1.904 -1.614
2.079 -0.635 -3.391
4.153 -14.147 2.146
ATOMIC_POSITIONS crystal
Pd 0.100 0.599 0.844
Pd 0.500 0.500 0.000
Pd 0.800 0.800 0.576
Pd 0.900 0.401 0.156
Pd 0.599 0.100 0.844
Pd 0.401 0.900 0.156
Pd 0.200 0.200 0.424
As 0.336 0.336 0.257
As 0.664 0.664 0.743
Cd 0.711 0.711 0.400
Cd 0.289 0.289 0.600
Nd 0.000 0.000 0.000
```

Properties
VASP energy = -4.769 eV per atom
Symmetry = C2/m


(7)
The following is a DFT calculation (GGA-PBE) of La2Tl2Pd15 after structural relaxation. Values from VASP.

Geometry as Quantum ESPRESSO input:
```
&SYSTEM
  ibrav = 0, nat = 19, ntyp = 3
/
ATOMIC_SPECIES
Pd 106.42 Pd.upf
Tl 204.38 Tl.upf
La 138.91 La.upf
CELL_PARAMETERS angstrom
-6.668 -2.252 -1.032
0.846 -2.662 -6.541
0.955 -6.812 1.810
ATOMIC_POSITIONS crystal
Pd 0.000 0.000 0.500
Pd 0.651 0.651 0.161
Pd 0.692 0.000 0.308
Pd 0.349 0.839 0.349
Pd 0.000 0.500 0.000
Pd 0.839 0.349 0.349
Pd 0.692 0.308 0.000
Pd 0.349 0.349 0.839
Pd 0.308 0.000 0.692
Pd 0.308 0.692 0.000
Pd 0.161 0.651 0.651
Pd 0.000 0.308 0.692
Pd 0.000 0.692 0.308
Pd 0.500 0.000 0.000
Pd 0.651 0.161 0.651
Tl 0.895 0.895 0.895
Tl 0.105 0.105 0.105
La 0.647 0.647 0.647
La 0.353 0.353 0.353
```

Properties
VASP energy = -5.230 eV per atom
Symmetry = R-3m


(8)
The following is a DFT calculation (GGA-PBE) of NaLiTlPb2 after structural relaxation. Values from VASP.

Geometry as Quantum ESPRESSO input:
```
&SYSTEM
  ibrav = 0, nat = 5, ntyp = 4
/
ATOMIC_SPECIES
Na 22.99 Na.upf
Li 6.94 Li.upf
Pb 207.20 Pb.upf
Tl 204.38 Tl.upf
CELL_PARAMETERS angstrom
-2.491 -3.833 -2.538
1.368 -3.374 3.753
-4.473 1.146 2.660
ATOMIC_POSITIONS crystal
Na 0.500 0.500 0.500
Li 0.000 0.000 0.000
Pb 0.000 0.500 0.000
Pb 0.500 0.000 0.000
Tl 0.000 0.000 0.500
```

Properties
VASP energy = -2.615 eV per atom
Symmetry = P4/mmm


(9)
The following is a DFT calculation (GGA-PBE) of TaAlRh2 after structural relaxation. Values from VASP.

Geometry as Quantum ESPRESSO input:
```
&SYSTEM
  ibrav = 0, nat = 4, ntyp = 3
/
ATOMIC_SPECIES
Al 26.98 Al.upf
Ta 180.95 Ta.upf
Rh 102.91 Rh.upf
CELL_PARAMETERS angstrom
-4.046 -3.078 7.342
-1.948 -5.014 7.129
-1.464 -2.517 8.443
ATOMIC_POSITIONS crystal
Al 0.744 0.744 0.744
Ta 0.502 0.502 0.502
Rh 0.249 0.249 0.249
Rh 0.005 0.005 0.005
```

Properties
VASP energy = -7.852 eV per atom
Symmetry = R3m


(10)
The following is a DFT calculation (GGA-PBE) of CaY3Br after structural relaxation. Values from VASP.

Geometry as Quantum ESPRESSO input:
```
&SYSTEM
  ibrav = 0, nat = 5, ntyp = 3
/
ATOMIC_SPECIES
Ca 40.08 Ca.upf
Y 88.91 Y.upf
Br 79.90 Br.upf
CELL_PARAMETERS angstrom
5.813 0.000 0.000
0.000 5.813 0.000
0.000 0.000 5.813
ATOMIC_POSITIONS crystal
Ca 0.000 0.000 0.000
Y 0.500 0.000 0.000
Y 0.000 0.000 0.500
Y 0.000 0.500 0.000
Br 0.500 0.500 0.500
```

Properties
VASP energy = -3.747 eV per atom
Symmetry = Pm-3m
Uncorrected formation energy = 0.866 eV/atom


(11)
The following is a DFT calculation (GGA-PBE) of PaTlBi2N after structural relaxation. Values from VASP.

Geometry as Quantum ESPRESSO input:
```
&SYSTEM
  ibrav = 0, nat = 10, ntyp = 4
/
ATOMIC_SPECIES
Bi 208.98 Bi.upf
Pa 231.04 Pa.upf
Tl 204.38 Tl.upf
N 14.01 N.upf
CELL_PARAMETERS angstrom
-0.159 0.226 -3.913
3.906 -0.307 -0.176
-1.544 -19.057 -1.040
ATOMIC_POSITIONS crystal
Bi 0.500 0.000 0.333
Bi 0.000 0.500 0.667
Bi 0.500 0.000 0.954
Bi 0.000 0.500 0.046
Pa 0.500 0.000 0.561
Pa 0.000 0.500 0.439
Tl 0.500 0.000 0.161
Tl 0.000 0.500 0.839
N 0.000 0.000 0.500
N 0.500 0.500 0.500
```

Properties
VASP energy = -6.243 eV per atom
Symmetry = P4/nmm
Uncorrected formation energy = -0.654 eV/atom


(12)
The following is a DFT calculation (GGA-PBE) of MgBeP after structural relaxation. Values from VASP.

Geometry as Quantum ESPRESSO input:
```
&SYSTEM
  ibrav = 0, nat = 18, ntyp = 3
/
ATOMIC_SPECIES
Be 9.01 Be.upf
P 30.97 P.upf
Mg 24.30 Mg.upf
CELL_PARAMETERS angstrom
-0.547 0.769 -3.499
-1.816 -2.718 1.563
-19.127 16.597 6.640
ATOMIC_POSITIONS crystal
Be 0.000 0.000 0.803
Be 0.667 0.333 0.136
Be 0.333 0.667 0.864
Be 0.333 0.667 0.470
Be 0.000 0.000 0.197
Be 0.667 0.333 0.530
P 0.333 0.667 0.555
P 0.000 0.000 0.111
P 0.000 0.000 0.889
P 0.333 0.667 0.778
P 0.667 0.333 0.222
P 0.667 0.333 0.445
Mg 0.000 0.000 0.381
Mg 0.333 0.667 0.286
Mg 0.667 0.333 0.714
Mg 0.000 0.000 0.619
Mg 0.667 0.333 0.952
Mg 0.333 0.667 0.048
```

Properties
VASP energy = -3.923 eV per atom
Symmetry = R-3m


(13)
The following is a DFT calculation (GGA-PBE) of ZrTaAl2 after structural relaxation. Values from VASP.

Geometry as Quantum ESPRESSO input:
```
&SYSTEM
  ibrav = 0, nat = 4, ntyp = 3
/
ATOMIC_SPECIES
Zr 91.22 Zr.upf
Al 26.98 Al.upf
Ta 180.95 Ta.upf
CELL_PARAMETERS angstrom
-2.369 -8.969 -3.693
-0.739 -9.860 -1.389
-3.612 -9.252 -1.022
ATOMIC_POSITIONS crystal
Zr 0.747 0.747 0.747
Al 0.995 0.995 0.995
Al 0.251 0.251 0.251
Ta 0.507 0.507 0.507
```

Properties
VASP energy = -6.965 eV per atom
Symmetry = R3m


(14)
The following is a DFT calculation (GGA-PBE) of Ta2BeSi after structural relaxation. Values from VASP.

Geometry as Quantum ESPRESSO input:
```
&SYSTEM
  ibrav = 0, nat = 4, ntyp = 3
/
ATOMIC_SPECIES
Si 28.09 Si.upf
Ta 180.95 Ta.upf
Be 9.01 Be.upf
CELL_PARAMETERS angstrom
-2.236 -3.991 0.975
2.094 -3.354 -2.498
1.836 3.200 2.875
ATOMIC_POSITIONS crystal
Si 0.750 0.250 0.500
Ta 0.500 0.500 0.000
Ta 0.000 0.000 0.000
Be 0.250 0.750 0.500
```

Properties
VASP energy = -8.336 eV per atom
Symmetry = I4/mmm
Uncorrected formation energy = -0.123 eV/atom


(15)
The following is a DFT calculation (GGA-PBE) of LaTi2In after structural relaxation. Values from VASP.

Geometry as Quantum ESPRESSO input:
```
&SYSTEM
  ibrav = 0, nat = 8, ntyp = 3
/
ATOMIC_SPECIES
La 138.91 La.upf
In 114.82 In.upf
Ti 47.87 Ti.upf
CELL_PARAMETERS angstrom
4.415 0.000 0.000
0.000 4.415 0.000
2.208 2.208 10.192
ATOMIC_POSITIONS crystal
La 0.750 0.250 0.500
La 0.000 0.000 0.000
In 0.250 0.750 0.500
In 0.500 0.500 0.000
Ti 0.875 0.850 0.750
Ti 0.150 0.625 0.250
Ti 0.375 0.400 0.750
Ti 0.600 0.125 0.250
```

Properties
VASP energy = -5.471 eV per atom
Symmetry = I-42d


(16)
The following is a DFT calculation (GGA-PBE) of AcAlBi3 after structural relaxation. Values from VASP.

Geometry as Quantum ESPRESSO input:
```
&SYSTEM
  ibrav = 0, nat = 5, ntyp = 3
/
ATOMIC_SPECIES
Al 26.98 Al.upf
Bi 208.98 Bi.upf
Ac 227.00 Ac.upf
CELL_PARAMETERS angstrom
-0.836 -0.542 -5.436
2.607 -4.872 0.085
-4.801 -2.551 0.993
ATOMIC_POSITIONS crystal
Al 0.000 0.000 0.000
Bi 0.000 0.000 0.500
Bi 0.000 0.500 0.000
Bi 0.500 0.000 0.000
Ac 0.500 0.500 0.500
```

Properties
VASP energy = -3.939 eV per atom
Symmetry = Pm-3m


(17)
The following is a DFT calculation (GGA-PBE) of PmY3Zn after structural relaxation. Values from VASP.

Geometry as Quantum ESPRESSO input:
```
&SYSTEM
  ibrav = 0, nat = 10, ntyp = 3
/
ATOMIC_SPECIES
Pm 145.00 Pm.upf
Zn 65.41 Zn.upf
Y 88.91 Y.upf
CELL_PARAMETERS angstrom
7.275 -0.075 -0.402
-2.062 6.977 0.402
-3.203 -3.000 6.299
ATOMIC_POSITIONS crystal
Pm 0.692 0.082 0.773
Pm 0.308 0.918 0.227
Zn 0.657 0.765 0.422
Zn 0.343 0.235 0.578
Y 0.832 0.997 0.226
Y 0.263 0.546 0.809
Y 0.737 0.454 0.191
Y 0.229 0.394 0.226
Y 0.168 0.003 0.774
Y 0.771 0.606 0.774
```

Properties
VASP energy = -5.044 eV per atom
Symmetry = C2/m


(18)
The following is a DFT calculation (GGA-PBE) of BaWSe2 after structural relaxation. Values from VASP.

Geometry as Quantum ESPRESSO input:
```
&SYSTEM
  ibrav = 0, nat = 4, ntyp = 3
/
ATOMIC_SPECIES
Ba 137.33 Ba.upf
W 183.84 W.upf
Se 78.96 Se.upf
CELL_PARAMETERS angstrom
-1.980 -0.786 -5.378
5.062 -0.697 -2.711
-3.310 -2.582 3.980
ATOMIC_POSITIONS crystal
Ba 0.250 0.750 0.500
W 0.750 0.250 0.500
Se 0.564 0.564 0.000
Se 0.936 0.936 0.000
```

Properties
VASP energy = -5.843 eV per atom
Symmetry = Immm
Uncorrected formation energy = -0.381 eV/atom


(19)
The following is a DFT calculation (GGA-PBE) of La2Al3Zn4In after structural relaxation. Values from VASP.

Geometry as Quantum ESPRESSO input:
```
&SYSTEM
  ibrav = 0, nat = 10, ntyp = 4
/
ATOMIC_SPECIES
La 138.91 La.upf
Zn 65.41 Zn.upf
In 114.82 In.upf
Al 26.98 Al.upf
CELL_PARAMETERS angstrom
-1.023 4.242 -0.358
-4.251 -1.039 -0.165
-0.610 0.771 10.869
ATOMIC_POSITIONS crystal
La 0.000 0.500 0.760
La 0.500 0.000 0.240
Zn 0.500 0.000 0.646
Zn 0.500 0.500 0.000
Zn 0.000 0.500 0.354
Zn 0.000 0.000 0.000
In 0.500 0.500 0.500
Al 0.000 0.500 0.126
Al 0.500 0.000 0.874
Al 0.000 0.000 0.500
```

Properties
VASP energy = -3.310 eV per atom
Symmetry = P-4m2


(20)
The following is a DFT calculation (GGA-PBE) of YTe2WN after structural relaxation. Values from VASP.

Geometry as Quantum ESPRESSO input:
```
&SYSTEM
  ibrav = 0, nat = 5, ntyp = 4
/
ATOMIC_SPECIES
W 183.84 W.upf
Te 127.60 Te.upf
Y 88.91 Y.upf
N 14.01 N.upf
CELL_PARAMETERS angstrom
5.530 0.000 0.000
0.000 5.530 0.000
0.000 0.000 3.851
ATOMIC_POSITIONS crystal
W 0.000 0.000 0.000
Te 0.000 0.500 0.000
Te 0.500 0.000 0.000
Y 0.500 0.500 0.500
N 0.000 0.000 0.500
```

Properties
VASP energy = -7.028 eV per atom
Symmetry = P4/mmm
Uncorrected formation energy = -0.222 eV/atom